# 1
Below is BaNiMo2 after structural relaxation, with properties calculated at the PBE-GGA level.

Structure (POSCAR):
```
BaNiMo2
1.0
-0.685 0.951 4.567
1.230 -1.817 4.174
5.299 3.387 1.972
Mo Ni Ba
2 1 1
direct
0.956 0.956 0.134
0.250 0.250 0.257
0.528 0.528 0.375
0.766 0.766 0.734
```

The excess energy over the best structure of this formula in the dataset comes out at 0.129 eV/atom. The calculation puts the density of states at the Fermi level at 4.0 states/eV per cell. For the density, the calculation gives 6.86 g cm⁻³.



# 2
Below is BaNiMo2 after structural relaxation, with properties calculated at the PBE-GGA level.

Structure (POSCAR):
```
BaNiMo2
1.0
5.478 0.000 0.000
0.000 3.844 0.000
0.000 0.000 3.844
Ba Ni Mo
1 1 2
direct
0.500 0.000 0.500
0.500 0.500 0.000
0.000 0.500 0.500
0.000 0.000 0.000
```

The excess energy over the best structure of this formula in the dataset comes out at 0.660 eV/atom. The calculation puts the density of states at the Fermi level at 4.6 states/eV per cell. For the density, the calculation gives 7.96 g cm⁻³.



# 3
Below is BaNiMo2 after structural relaxation, with properties calculated at the PBE-GGA level.

Structure (POSCAR):
```
BaNiMo2
1.0
4.504 0.000 0.000
0.000 3.339 0.024
0.000 1.458 6.318
Ba Mo Ni
1 2 1
direct
0.500 0.750 0.750
0.000 0.452 0.383
0.000 0.048 0.117
0.500 0.250 0.250
```

The excess energy over the best structure of this formula in the dataset comes out at 0.288 eV/atom. The calculation puts the density of states at the Fermi level at 5.0 states/eV per cell. For the density, the calculation gives 6.79 g cm⁻³.



# 4
Below is BaNiMo after structural relaxation, with properties calculated at the PBE-GGA level.

Structure (POSCAR):
```
BaNiMo
1.0
4.173 -0.001 0.002
-0.002 4.001 -0.003
-0.331 -0.010 10.070
Ba Mo Ni
2 2 2
direct
0.340 0.322 0.322
0.883 0.818 0.721
0.324 0.819 0.021
0.899 0.320 0.022
0.414 0.318 0.883
0.808 0.820 0.160
```

The excess energy over the best structure of this formula in the dataset comes out at 0.007 eV/atom. The calculation puts the density of states at the Fermi level at 5.6 states/eV per cell. For the density, the calculation gives 5.77 g cm⁻³.



# 5
Below is BaNiMo2 after structural relaxation, with properties calculated at the PBE-GGA level.

Structure (POSCAR):
```
BaNiMo2
1.0
-7.594 5.722 -4.199
-9.136 4.547 -1.974
-7.540 6.989 -1.534
Ni Mo Ba
1 2 1
direct
0.250 0.250 0.250
0.518 0.518 0.518
0.982 0.982 0.982
0.750 0.750 0.750
```

The excess energy over the best structure of this formula in the dataset comes out at 0.612 eV/atom. The calculation puts the density of states at the Fermi level at 6.6 states/eV per cell. For the density, the calculation gives 8.33 g cm⁻³.



# 6
Below is BaNiMo2 after structural relaxation, with properties calculated at the PBE-GGA level.

Structure (POSCAR):
```
BaNiMo2
1.0
5.724 0.003 -0.002
1.884 5.405 0.002
-2.820 -4.088 2.845
Mo Ba Ni
2 1 1
direct
0.240 0.740 0.500
0.054 0.054 0.000
0.749 0.249 0.500
0.457 0.457 0.000
```

The excess energy over the best structure of this formula in the dataset comes out at 0.467 eV/atom. The calculation puts the density of states at the Fermi level at 2.4 states/eV per cell. For the density, the calculation gives 7.32 g cm⁻³.



# 7
Below is BaNiMo2 after structural relaxation, with properties calculated at the PBE-GGA level.

Structure (POSCAR):
```
BaNiMo2
1.0
2.933 0.000 0.000
0.000 2.933 0.000
0.000 0.000 9.007
Mo Ni Ba
2 1 1
direct
0.000 0.000 0.074
0.000 0.000 0.426
0.500 0.500 0.250
0.500 0.500 0.750
```

The excess energy over the best structure of this formula in the dataset comes out at 0.369 eV/atom. The calculation puts the density of states at the Fermi level at 7.4 states/eV per cell. For the density, the calculation gives 8.31 g cm⁻³.



# 8
Below is BaNiMo after structural relaxation, with properties calculated at the PBE-GGA level.

Structure (POSCAR):
```
BaNiMo
1.0
4.832 -2.789 0.000
0.000 5.579 0.000
0.000 0.000 8.934
Ba Mo Ni
2 2 2
direct
0.333 0.667 0.250
0.667 0.333 0.750
0.000 0.000 0.250
0.000 0.000 0.750
0.000 0.000 0.000
0.000 0.000 0.500
```

The excess energy over the best structure of this formula in the dataset comes out at 1.299 eV/atom. The calculation puts the density of states at the Fermi level at 7.1 states/eV per cell. For the density, the calculation gives 4.03 g cm⁻³.



# 9
Below is BaNiMo after structural relaxation, with properties calculated at the PBE-GGA level.

Structure (POSCAR):
```
BaNiMo
1.0
4.163 -0.006 0.000
2.113 11.138 0.063
2.081 -0.413 3.582
Ni Mo Ba
2 2 2
direct
0.404 0.757 0.413
0.003 0.858 0.114
0.771 0.706 0.730
0.635 0.909 0.797
0.156 0.126 0.537
0.250 0.489 0.990
```

The excess energy over the best structure of this formula in the dataset comes out at 0.128 eV/atom. The calculation puts the density of states at the Fermi level at 7.5 states/eV per cell. For the density, the calculation gives 5.83 g cm⁻³.



# 10
Below is BaNiMo after structural relaxation, with properties calculated at the PBE-GGA level.

Structure (POSCAR):
```
BaNiMo
1.0
-1.473 3.026 -2.295
-1.360 -3.803 -0.527
-3.848 0.874 3.622
Ni Ba Mo
1 1 1
direct
0.333 0.667 0.500
0.000 0.000 0.000
0.667 0.333 0.500
```

The excess energy over the best structure of this formula in the dataset comes out at 0.353 eV/atom. The calculation puts the density of states at the Fermi level at 3.2 states/eV per cell. For the density, the calculation gives 6.30 g cm⁻³.



# 11
Below is BaNiMo2 after structural relaxation, with properties calculated at the PBE-GGA level.

Structure (POSCAR):
```
BaNiMo2
1.0
4.424 -0.117 0.099
2.770 3.452 0.099
1.690 0.783 6.250
Mo Ni Ba
2 1 1
direct
0.548 0.548 0.340
0.952 0.952 0.160
0.250 0.250 0.250
0.750 0.750 0.750
```

The excess energy over the best structure of this formula in the dataset comes out at 0.089 eV/atom. The calculation puts the density of states at the Fermi level at 4.2 states/eV per cell. For the density, the calculation gives 6.66 g cm⁻³.



# 12
Below is BaNiMo2 after structural relaxation, with properties calculated at the PBE-GGA level.

Structure (POSCAR):
```
BaNiMo2
1.0
6.260 -0.003 0.006
3.644 5.091 -0.006
-4.285 -3.843 2.463
Ni Mo Ba
1 2 1
direct
0.250 0.750 0.500
0.457 0.457 0.000
0.043 0.043 0.000
0.750 0.250 0.500
```

The excess energy over the best structure of this formula in the dataset comes out at 0.346 eV/atom. The calculation puts the density of states at the Fermi level at 4.5 states/eV per cell. For the density, the calculation gives 8.21 g cm⁻³.